First-principles (PBE-GGA) data for crystalline NaHfAg2 at its relaxed geometry, as listed in Alexandria via LeMat-Bulk.

- ρ (g/cm3) = 7.73
- excess energy over the best structure of this formula in the dataset (meV per atom) = 509
- E_form (eV/atom) = 0.58

a = 7.6062 Å, b = 7.6062 Å, c = 6.2079 Å
α = 52.22°, β = 52.22°, γ = 90.00°
Positions (direct):
Na 0.5000 0.5000 0.0000
Na 0.2500 0.7500 0.5000
Hf 0.0000 0.0000 0.0000
Hf 0.7500 0.2500 0.5000
Ag 0.6307 0.1250 0.2500
Ag 0.1193 0.6250 0.2500
Ag 0.3750 0.3693 0.7500
Ag 0.8750 0.8807 0.7500

First-principles (PBE-GGA) data for crystalline Na2YMgCu at its relaxed geometry, as listed in Alexandria via LeMat-Bulk.

- ρ (g/cm3) = 2.16
- excess energy over the best structure of this formula in the dataset (meV per atom) = 0
- E_form (eV/atom) = 0.85

a = 5.3480 Å, b = 5.9814 Å, c = 5.3480 Å
α = 90.00°, β = 90.00°, γ = 90.00°
Positions (direct):
Y 0.0000 0.5000 0.0000
Na 0.0000 0.0000 0.5000
Na 0.5000 0.0000 0.0000
Mg 0.0000 0.0000 0.0000
Cu 0.5000 0.5000 0.5000

First-principles (PBE-GGA) data for crystalline PRhC at its relaxed geometry, as listed in Alexandria via LeMat-Bulk.

- ρ (g/cm3) = 6.18
- excess energy over the best structure of this formula in the dataset (meV per atom) = 313
- E_form (eV/atom) = 0.45

a = 4.5189 Å, b = 3.2914 Å, c = 5.9089 Å
α = 90.00°, β = 116.88°, γ = 90.00°
Positions (direct):
P 0.8638 0.0000 0.6892
P 0.8638 0.5000 0.1892
C 0.2870 0.0000 0.8343
C 0.2870 0.5000 0.3343
Rh 0.5261 0.0000 0.2456
Rh 0.5261 0.5000 0.7456

- Which value of ρ does entry 1 give?
  7.73 g/cm3

- The highest E_form belongs to which entry?
  Na2YMgCu